Crystalline Pm3AgAu5 at its relaxed geometry. Source: Alexandria via LeMat-Bulk, functional PBE-GGA.

Output
SG   No. 193
Energy relative to the elements   -6.218 eV/f.u.
Raw total energy   -4.412 eV/atom

```
Pm3AgAu5
1.0
8.825 0.000 0.000
-4.413 7.643 0.000
0.000 0.000 6.178
Pm Ag Au
6 2 10
direct
0.000 0.357 0.250 Pm
0.000 0.643 0.750 Pm
0.357 0.000 0.250 Pm
0.357 0.357 0.750 Pm
0.643 0.000 0.750 Pm
0.643 0.643 0.250 Pm
0.000 0.000 0.000 Ag
0.000 0.000 0.500 Ag
0.000 0.306 0.750 Au
0.000 0.694 0.250 Au
0.306 0.000 0.750 Au
0.306 0.306 0.250 Au
0.333 0.667 0.000 Au
0.333 0.667 0.500 Au
0.667 0.333 0.000 Au
0.667 0.333 0.500 Au
0.694 0.000 0.250 Au
0.694 0.694 0.750 Au
```